First-principles (PBE-GGA) data for Sm2AgAs4 after structural relaxation, as listed in Alexandria.

Cell and atoms, written as CIF:
```
data_Sm2AgAs4
_space_group_name_H-M_alt 'P -4 m 2'
_space_group_IT_number 115
_cell_length_a 4.023
_cell_length_b 4.023
_cell_length_c 10.018
_cell_angle_alpha 90.00
_cell_angle_beta 90.00
_cell_angle_gamma 90.00
loop_
_space_group_symop_operation_xyz
'x,y,z'
'y,-x,-z'
'-x,-y,z'
'-y,x,-z'
'-x,y,z'
'-y,-x,-z'
'x,-y,z'
'y,x,-z'
loop_
_atom_site_label
_atom_site_fract_x
_atom_site_fract_y
_atom_site_fract_z
Sm1 0.000 0.500 0.238
Ag1 0.000 0.000 0.500
As1 0.000 0.000 0.000
As2 0.000 0.500 0.668
As3 0.500 0.500 0.000
```

Properties
Spin magnetization: 0.00 μB/atom
E_form: -0.763 eV/atom
Calculated density: 7.3 g/cm3
Final energy: -36.2 eV per cell